# Hf12ZnNi6

Crystalline Hf12ZnNi6 at its relaxed geometry (GGA-PBE, Alexandria via LeMat-Bulk).

Lattice parameters (Å, degrees): 7.6982 7.6982 7.6982 109.47 109.47 109.47
Fractional coordinates of all 19 atoms:
Hf 0.2912 0.1043 0.8131
Hf 0.2912 0.4781 0.1869
Hf 0.7088 0.5219 0.8131
Hf 0.7088 0.8957 0.1869
Hf 0.1043 0.8131 0.2912
Hf 0.4781 0.1869 0.2912
Hf 0.5219 0.8131 0.7088
Hf 0.8957 0.1869 0.7088
Hf 0.8131 0.2912 0.1043
Hf 0.1869 0.2912 0.4781
Hf 0.8131 0.7088 0.5219
Hf 0.1869 0.7088 0.8957
Zn 0.0000 0.0000 0.0000
Ni 0.3654 0.5000 0.8654
Ni 0.6346 0.5000 0.1346
Ni 0.5000 0.8654 0.3654
Ni 0.5000 0.1346 0.6346
Ni 0.8654 0.3654 0.5000
Ni 0.1346 0.6346 0.5000

Output
Formation energy: -241 meV per atom